# 1
# RbCr2CdHg, relaxed, DFT GGA-PBEsol
# ΔE_f = 1919 meV/atom
# total magnetic moment = 11.2 μB per formula unit
# mass density = 3.72 g/cm3
# DOS at the Fermi energy = 2.5 states/eV/cell
data_RbCr2CdHg
_chemical_formula_sum 'Rb1 Cr2 Cd1 Hg1'
_cell_length_a 6.011
_cell_length_b 6.011
_cell_length_c 6.206
_cell_angle_alpha 90.00
_cell_angle_beta 90.00
_cell_angle_gamma 90.00
_space_group_name_H-M_alt 'P 4/m m m'
_space_group_IT_number 123
_space_group_name_Hall '-P 4 2'
loop_
_atom_site_label
_atom_site_fract_x
_atom_site_fract_y
_atom_site_fract_z
Rb1 0.000 0.000 0.000
Cr1 0.000 0.500 0.000
Cd1 0.500 0.500 0.500
Hg1 0.000 0.000 0.500



# 2
# Li2MoCBr, relaxed, DFT GGA-PBEsol
# total magnetic moment = 3.8 μB per formula unit
# mass density = 4.32 g/cm3
# DOS at the Fermi energy = 2.9 states/eV/cell
# formation energy from raw total energies = 1.353 eV per atom
data_Li2MoCBr
_chemical_formula_sum 'Li2 Mo1 C1 Br1'
_cell_length_a 3.932
_cell_length_b 3.932
_cell_length_c 5.014
_cell_angle_alpha 90.00
_cell_angle_beta 90.00
_cell_angle_gamma 90.00
_space_group_name_H-M_alt 'P 4/m m m'
_space_group_IT_number 123
_space_group_name_Hall '-P 4 2'
loop_
_atom_site_label
_atom_site_fract_x
_atom_site_fract_y
_atom_site_fract_z
Li1 0.000 0.500 0.000
Mo1 0.000 0.000 0.500
C1 0.500 0.500 0.000
Br1 0.500 0.500 0.500



# 3
# Co2Tc, relaxed, DFT GGA-PBEsol
# ΔE to the lowest computed polymorph = 0 meV per atom
# ΔE_f = -53 meV/atom
# total magnetic moment = 0.4 μB per formula unit
# mass density = 10.71 g/cm3
# DOS at the Fermi energy = 14.3 states/eV/cell
data_Co2Tc
_chemical_formula_sum 'Co8 Tc4'
_cell_length_a 7.562
_cell_length_b 4.382
_cell_length_c 4.041
_cell_angle_alpha 90.00
_cell_angle_beta 90.00
_cell_angle_gamma 90.00
_space_group_name_H-M_alt 'C m c m'
_space_group_IT_number 63
_space_group_name_Hall '-C 2c 2'
loop_
_atom_site_label
_atom_site_fract_x
_atom_site_fract_y
_atom_site_fract_z
Co1 0.172 0.164 0.250
Tc1 0.000 0.318 0.750